VASP calculation (PBE) on a relaxed structure of Nd4Y6Th.

Unit cell a=5.814 b=9.754 c=26.090 alpha=90.00 beta=90.00 gamma=90.00
Space group Cmcm (No. 63)
Inequivalent atoms, fractional coordinates:
Nd 0.000 0.030 0.123 x8
Nd 0.000 0.343 0.044 x8
Y 0.000 0.000 0.000 x4
Y 0.000 0.026 0.250 x4
Y 0.000 0.311 0.603 x8
Y 0.000 0.360 0.184 x8
Th 0.000 0.309 0.750 x4

Output
Volume   370 Å³/f.u.
Magnetization   0.0 μB/cell
Calculated density   6.026 g cm⁻³
Formation enthalpy at 0 K   127 meV/atom
D(E_F)   19.55 states/eV/f.u.
E   -255.5 eV for the cell shown

=====

VASP calculation (PBE) on a relaxed structure of Nd3Y2Th.

Unit cell a=9.501 b=13.291 c=6.580 alpha=90.00 beta=90.00 gamma=90.00
Space group Cmc2_1 (No. 36)
Inequivalent atoms, fractional coordinates:
Nd 0.000 0.086 0.000 x4
Nd 0.184 0.320 0.773 x8
Y 0.182 0.425 0.258 x8
Th 0.000 0.171 0.481 x4

Output
Volume   208 Å³/f.u.
Magnetization   0.0 μB/cell
Calculated density   6.735 g cm⁻³
Formation enthalpy at 0 K   235 meV/atom
Relative energy among the computed polymorphs   197.1 meV/atom
D(E_F)   10.22 states/eV/f.u.
E   -133.0 eV for the cell shown

=====

VASP calculation (PBE) on a relaxed structure of Nd5Y2Th3.

Unit cell a=11.513 b=5.104 c=11.465 alpha=90.00 beta=90.23 gamma=90.00
Space group C2/m (No. 12)
Inequivalent atoms, fractional coordinates:
Nd 0.000 0.000 0.000 x2
Nd 0.198 0.500 0.897 x4
Nd 0.200 0.000 0.401 x4
Y 0.099 0.500 0.206 x4
Th 0.000 0.500 0.500 x2
Th 0.097 0.000 0.697 x4

Output
Volume   337 Å³/f.u.
Magnetization   0.0 μB/cell
Calculated density   7.863 g cm⁻³
Formation enthalpy at 0 K   52 meV/atom
D(E_F)   13.92 states/eV/f.u.
E   -117.0 eV for the cell shown

=====

VASP calculation (PBE) on a relaxed structure of Nd2Y2Th3.

Unit cell a=3.554 b=37.136 c=3.560 alpha=90.00 beta=90.00 gamma=90.00
Space group Cmmm (No. 65)
Inequivalent atoms, fractional coordinates:
Nd 0.000 0.208 0.000 x4
Y 0.000 0.363 0.500 x4
Th 0.000 0.068 0.000 x4
Th 0.000 0.500 0.500 x2

Output
Volume   235 Å³/f.u.
Magnetization   0.0 μB/cell
Calculated density   8.216 g cm⁻³
Formation enthalpy at 0 K   77 meV/atom
D(E_F)   11.01 states/eV/f.u.
E   -88.4 eV for the cell shown

=====

VASP calculation (PBE) on a relaxed structure of NdY4Th.

Unit cell a=12.097 b=5.690 c=12.103 alpha=90.00 beta=109.56 gamma=90.00
Space group C2/c (No. 15)
Inequivalent atoms, fractional coordinates:
Nd 0.000 0.250 0.250 x4
Y 0.041 0.250 0.958 x8
Y 0.209 0.249 0.792 x8
Th 0.250 0.250 0.500 x4

Output
Volume   196 Å³/f.u.
Magnetization   0.0 μB/cell
Calculated density   6.193 g cm⁻³
Formation enthalpy at 0 K   73 meV/atom
Relative energy among the computed polymorphs   0.0 meV/atom
D(E_F)   9.82 states/eV/f.u.
E   -150.4 eV for the cell shown

=====

VASP calculation (PBE) on a relaxed structure of Nd8YTh4.

Unit cell a=11.4188 b=11.4188 c=13.1891 alpha=90.00 beta=90.00 gamma=120.00
Space group R-3m (No. 166, hexagonal axes)
Inequivalent atoms, fractional coordinates:
Nd 0.0000 0.0000 0.2365 x6
Nd 0.0075 0.5037 0.7342 x18
Y 0.0000 0.0000 0.5000 x3
Th 0.0000 0.0000 0.0000 x3
Th 0.0000 0.5000 0.0000 x9

Output
Volume   496 Å³/f.u.
Magnetization   0.0 μB/cell
Calculated density   7.262 g cm⁻³
Formation enthalpy at 0 K   551 meV/atom
D(E_F)   21.76 states/eV/f.u.
E   -201.4 eV for the cell shown